VASP calculation (PBE) on crystalline La2TbErSe5 at its relaxed geometry.

a = 5.0955 Å, b = 5.0955 Å, c = 10.7649 Å
α = 90.00°, β = 90.00°, γ = 90.00°
With the nearest neighbours (Å) after each atom.
Fractional positions:
La 0.0000 0.0000 0.1991  5 Se 3.24-3.33
La 0.0000 0.0000 0.8009  5 Se 3.24-3.33
Tb 0.5000 0.5000 0.5000  2 Se 2.65
Er 0.5000 0.5000 0.0000  6 Se 2.55-2.73
Se 0.0000 0.0000 0.5000  2 La 3.24, 4 Tb 3.60
Se 0.0000 0.5000 0.0000  2 Er 2.55
Se 0.5000 0.0000 0.0000  2 Er 2.55
Se 0.5000 0.5000 0.2538  1 Tb 2.65, 1 Er 2.73
Se 0.5000 0.5000 0.7462  1 Tb 2.65, 1 Er 2.73

Properties
ΔE_f (raw)   -12.97 eV/f.u.
E   -5.49 eV per atom
Total magnetization   0.53 μB/f.u.